First-principles (PBE) data for crystalline BaMg2Cu at its relaxed geometry, as listed in the Alexandria database.

a b c (Å): 3.5717 3.5717 8.2780
angles (deg): 90.00 90.00 90.00
Last column: nearest neighbours and their distance in Å.
Sites, in units of the cell vectors:
Ba: 0.0000 0.0000 0.0000  4 Cu 3.47, 5 Mg 3.48-3.84, 4 Ba 3.57
Mg: 0.0000 0.0000 0.4203  4 Cu 2.76
Mg: 0.5000 0.5000 0.6512  1 Cu 3.01, 4 Mg 3.17
Cu: 0.5000 0.5000 0.2871  5 Mg 2.76-3.01

Results
VASP energy = -2.2548 eV/atom
Formation enthalpy at 0 K = 47 meV per atom
Crystal system = tetragonal